Entry 1:
Density functional theory data (PBE) for crystalline Fe2HI2 at its relaxed geometry.

Lattice parameters (Å, degrees): 5.402 5.402 6.761 90.00 90.00 90.00
Atoms (fractional coordinates):
1 Fe 0.000 0.000 0.179
2 Fe 0.000 0.000 0.821
3 Fe 0.500 0.500 0.321
4 Fe 0.500 0.500 0.679
5 H 0.000 0.000 0.500
6 H 0.500 0.500 0.000
7 I 0.000 0.500 0.250
8 I 0.000 0.500 0.750
9 I 0.500 0.000 0.250
10 I 0.500 0.000 0.750

Output
Energy above the lowest structure with this stoichiometry   0 meV per atom
Space group   I4/mmm, No. 139

Entry 2:
Density functional theory data (PBE) for crystalline Cs2SiIF6 at its relaxed geometry.

Lattice parameters (Å, degrees): 6.756 6.756 6.756 116.53 116.53 96.12
Atoms (fractional coordinates):
1 Cs 0.250 0.750 0.500
2 Cs 0.750 0.250 0.500
3 Si 0.000 0.000 0.000
4 I 0.500 0.500 0.000
5 F 0.171 0.171 0.341
6 F 0.171 0.829 0.000
7 F 0.192 0.192 0.000
8 F 0.808 0.808 0.000
9 F 0.829 0.171 0.000
10 F 0.829 0.829 0.659

Output
ΔE_f (raw)   -257.9 kJ/mol of atoms
Space group   I4/mmm, No. 139

Entry 3:
Density functional theory data (PBE) for crystalline SrCd at its relaxed geometry.

Lattice parameters (Å, degrees): 4.401 4.401 9.727 90.00 90.00 120.00
Atoms (fractional coordinates):
1 Sr 0.333 0.667 0.184
2 Sr 0.667 0.333 0.816
3 Cd 0.333 0.667 0.577
4 Cd 0.667 0.333 0.423

Output
E_form   -7.0 kJ per mole of atoms
Space group   P-3m1, No. 164

Entry 4:
Density functional theory data (PBE) for crystalline AsRhCl2 at its relaxed geometry.

Lattice parameters (Å, degrees): 3.633 4.896 11.290 90.00 90.00 90.00
Atoms (fractional coordinates):
1 As 0.000 0.000 0.000
2 As 0.500 0.500 0.500
3 Rh 0.000 0.500 0.372
4 Rh 0.500 0.000 0.872
5 Cl 0.000 0.000 0.714
6 Cl 0.000 0.500 0.926
7 Cl 0.500 0.000 0.426
8 Cl 0.500 0.500 0.214

Output
ΔE_f (raw)   -10.0 kJ/mol of atoms
Energy above the lowest structure with this stoichiometry   496 meV per atom
Space group   Imm2, No. 44

Entry 5:
Density functional theory data (PBE) for crystalline K2CrPt at its relaxed geometry.

Lattice parameters (Å, degrees): 7.440 7.440 7.440 90.00 90.00 90.00
Atoms (fractional coordinates):
1 K 0.000 0.000 0.000
2 K 0.000 0.500 0.500
3 K 0.250 0.250 0.250
4 K 0.250 0.750 0.750
5 K 0.500 0.000 0.500
6 K 0.500 0.500 0.000
7 K 0.750 0.250 0.750
8 K 0.750 0.750 0.250
9 Cr 0.000 0.000 0.500
10 Cr 0.000 0.500 0.000
11 Cr 0.500 0.000 0.000
12 Cr 0.500 0.500 0.500
13 Pt 0.250 0.250 0.750
14 Pt 0.250 0.750 0.250
15 Pt 0.750 0.250 0.250
16 Pt 0.750 0.750 0.750

Output
Energy above the lowest structure with this stoichiometry   326 meV per atom
E_form   57.2 kJ per mole of atoms
Space group   F-43m, No. 216

Entry 6:
Density functional theory data (PBE) for crystalline Tl2SiS at its relaxed geometry.

Lattice parameters (Å, degrees): 6.157 6.157 12.730 90.00 90.00 90.00
Atoms (fractional coordinates):
1 Tl 0.231 0.250 0.125
2 Tl 0.250 0.731 0.375
3 Tl 0.250 0.769 0.875
4 Tl 0.269 0.250 0.625
5 Tl 0.731 0.750 0.625
6 Tl 0.750 0.231 0.875
7 Tl 0.750 0.269 0.375
8 Tl 0.769 0.750 0.125
9 Si 0.000 0.000 0.000
10 Si 0.000 0.500 0.250
11 Si 0.500 0.000 0.750
12 Si 0.500 0.500 0.500
13 S 0.000 0.000 0.500
14 S 0.000 0.500 0.750
15 S 0.500 0.000 0.250
16 S 0.500 0.500 0.000

Output
ΔE_f (raw)   14.9 kJ/mol of atoms
Energy above the lowest structure with this stoichiometry   0 meV per atom
Space group   I-42d, No. 122

| no. | Fermi-level density of states (states/eV/f.u.) | total magnetization (μB/cell) |
| --- | --- | --- |
| 1 | 5.65 | 11.52 |
| 2 | 0.00 | 1.00 |
| 3 | 2.39 | 0.00 |
| 4 | 4.01 | 0.04 |
| 5 | 2.49 | 20.71 |
| 6 | 0.00 | 0.00 |